A geometry-optimized Nd2Er2SiI5 structure. Source: OQMD via LeMat-Bulk, functional GGA-PBE.

Lattice parameters (Å, degrees): 19.330 4.242 9.090 90.00 102.54 90.00
Space group C2/m (No. 12)
Unique sites:
Nd (0.001, 0.000, 0.287)
Er (0.143, 0.500, 0.572)
Si (0.000, 0.500, 0.500)
I (0.000, 0.500, 0.000)
I (0.170, 0.000, 0.822)
I (0.175, 0.000, 0.346)

Properties
Crystal system: monoclinic
Raw total energy in eV/atom: -4.368